(1)
Material: ReTe2P
Method: DFT, GGA-PBE
State: optimized geometry

The raw formation energy is 0.9256 eV/atom. The density of states at the Fermi level comes out at 5.07 states/eV per cell. The total moment comes out at 0.000 μB per atom. For the final energy, the calculation gives -5.11 eV per atom.

It has space group Cmmm (No. 65), with a = 3.227 Å, b = 5.216 Å, c = 9.961 Å, α = 90.00°, β = 90.00° and γ = 90.00°. Symmetry generates all atoms from Re at (0.000, 0.000, 0.000), Te at (0.000, 0.500, 0.225) and P at (0.000, 0.000, 0.500).

(2)
Material: Re2TeP
Method: DFT, GGA-PBE
State: optimized geometry

The raw formation energy is 0.2235 eV/atom. The density of states at the Fermi level comes out at 2.25 states/eV per cell. The total moment comes out at 0.000 μB per atom. For the final energy, the calculation gives -8.14 eV per atom. The calculation puts the energy above the lowest structure with this stoichiometry at 0.032 eV per atom.

It has space group Pmm2 (No. 25), with a = 3.133 Å, b = 4.515 Å, c = 4.808 Å, α = 90.00°, β = 90.00° and γ = 90.00°. Symmetry generates all atoms from Re at (0.000, 0.000, 0.000), Re at (0.500, 0.500, 0.192), Te at (0.000, 0.500, 0.689) and P at (0.500, 0.000, 0.372).

(3)
Material: TiReTe2P
Method: DFT, GGA-PBE
State: optimized geometry

The raw formation energy is 1.0661 eV/atom. The density of states at the Fermi level comes out at 2.59 states/eV per cell. The total moment comes out at 0.797 μB per atom. For the final energy, the calculation gives -5.34 eV per atom.

It has space group P4/mmm (No. 123), with a = 5.335 Å, b = 5.335 Å, c = 4.564 Å, α = 90.00°, β = 90.00° and γ = 90.00°. Symmetry generates all atoms from Ti at (0.000, 0.000, 0.000), Re at (0.500, 0.500, 0.500), Te at (0.000, 0.500, 0.000) and P at (0.000, 0.000, 0.500).

(4)
Material: TiReP
Method: DFT, GGA-PBE
State: optimized geometry

The calculation puts the formation energy from the elements at -0.83 eV/atom. The density of states at the Fermi level comes out at 15.92 states/eV per cell. The total moment comes out at 0.000 μB per atom. For the final energy, the calculation gives -9.41 eV per atom.

It has space group Ima2 (No. 46), with a = 6.805 Å, b = 11.358 Å, c = 6.553 Å, α = 90.00°, β = 90.00° and γ = 90.00°. Symmetry generates all atoms from Ti at (0.250, 0.005, 0.000), Ti at (0.250, 0.211, 0.610), Ti at (0.250, 0.696, 0.118), Re at (0.000, 0.000, 0.665), Re at (0.031, 0.628, 0.783), P at (0.003, 0.668, 0.412) and P at (0.250, 0.024, 0.398).

(5)
Material: TiRe3P
Method: DFT, GGA-PBE
State: optimized geometry

The calculation puts the formation energy from the elements at 0.52 eV/atom. The density of states at the Fermi level comes out at 3.38 states/eV per cell. The total moment comes out at 0.000 μB per atom. For the final energy, the calculation gives -9.61 eV per atom. The calculation puts the energy above the lowest structure with this stoichiometry at 0.000 eV per atom.

It has space group Pm-3m (No. 221), with a = 4.363 Å, b = 4.363 Å, c = 4.363 Å, α = 90.00°, β = 90.00° and γ = 90.00°. Symmetry generates all atoms from Ti at (0.000, 0.000, 0.000), Re at (0.000, 0.500, 0.500) and P at (0.500, 0.500, 0.500).

(6)
Material: Ti2ReP4
Method: DFT, GGA-PBE
State: optimized geometry

The calculation puts the formation energy from the elements at -0.60 eV/atom. The density of states at the Fermi level comes out at 5.67 states/eV per cell. The total moment comes out at 0.000 μB per atom. For the final energy, the calculation gives -7.73 eV per atom.

It has space group C2/m (No. 12), with a = 13.186 Å, b = 3.226 Å, c = 5.926 Å, α = 90.00°, β = 115.03° and γ = 90.00°. Symmetry generates all atoms from Ti at (0.249, 0.000, 0.248), Re at (0.000, 0.500, 0.500), P at (0.112, 0.000, 0.810) and P at (0.123, 0.500, 0.297).

Please write out number 6 again, unchanged.
Material: Ti2ReP4
Method: DFT, GGA-PBE
State: optimized geometry

The calculation puts the formation energy from the elements at -0.60 eV/atom. The density of states at the Fermi level comes out at 5.67 states/eV per cell. The total moment comes out at 0.000 μB per atom. For the final energy, the calculation gives -7.73 eV per atom.

It has space group C2/m (No. 12), with a = 13.186 Å, b = 3.226 Å, c = 5.926 Å, α = 90.00°, β = 115.03° and γ = 90.00°. Symmetry generates all atoms from Ti at (0.249, 0.000, 0.248), Re at (0.000, 0.500, 0.500), P at (0.112, 0.000, 0.810) and P at (0.123, 0.500, 0.297).

final energy of number 1 (ReTe2P)? -5.11 eV per atom